Record 1
Entry from OQMD: an optimized crystal structure of Sc2GaHg (PBE).

```
Sc2GaHg
1.0
-3.703 -2.538 2.009
-4.474 2.018 0.324
-3.660 -1.666 -2.831
Ga Hg Sc
1 1 2
Direct
0.500 0.500 0.500
0.250 0.250 0.250
0.000 0.000 0.000
0.750 0.750 0.750
```

Summary:
Size of the total moment in μB/atom: 0.55
Space group: F-43m, No. 216


Record 2
Entry from OQMD: an optimized crystal structure of HoEr3 (PBE).

```
HoEr3
1.0
7.142 0.000 0.000
-3.571 6.185 0.000
0.000 0.000 5.542
Er Ho
6 2
Direct
0.500 0.000 0.000
0.000 0.500 0.000
0.500 0.500 0.000
0.334 0.167 0.500
0.833 0.167 0.500
0.833 0.666 0.500
0.000 0.000 0.000
0.333 0.667 0.500
```

Summary:
DFT formation energy in eV per formula unit: 0.0
Size of the total moment in μB/atom: 0.01
Space group: P6_3/mmc, No. 194


Record 3
Entry from OQMD: an optimized crystal structure of CsCu3PdSe4 (PBE).

```
CsCu3PdSe4
1.0
-5.212 -1.587 -3.161
-0.568 -5.181 3.538
-3.491 3.213 4.144
Cs Cu Pd Se
1 3 1 4
Direct
0.000 0.000 0.000
0.500 0.500 0.000
0.500 0.000 0.500
0.000 0.500 0.500
0.500 0.500 0.500
0.282 0.282 0.282
0.718 0.718 0.282
0.718 0.282 0.718
0.282 0.718 0.718
```

Summary:
Space group: P-43m, No. 215


Record 4
Entry from OQMD: an optimized crystal structure of BeZnSn2 (PBE).

```
BeZnSn2
1.0
0.000 3.482 3.482
3.482 0.000 3.482
3.482 3.482 0.000
Be Sn Zn
1 2 1
Direct
0.750 0.750 0.750
0.000 0.000 0.000
0.250 0.250 0.250
0.500 0.500 0.500
```

Summary:
Space group: F-43m, No. 216


Respective electronic total energy values: -4.014; -4.566; -3.512; -2.715 eV/atom.